Entry 1:
! AgBiS2 GGA-PBE relaxed; values from VASP
&SYSTEM
  ibrav = 0, nat = 8, ntyp = 3
/
ATOMIC_SPECIES
S 32.06 S.upf
Ag 107.87 Ag.upf
Bi 208.98 Bi.upf
ATOMIC_POSITIONS angstrom
S -2.2346 -1.3804 4.1687
S -1.6449 -5.5714 5.5560
S -4.6986 -7.5387 7.4813
S -1.9886 -4.4396 1.4333
Ag -2.4487 -6.2803 3.1973
Ag -3.1631 -2.1749 1.8844
Bi 0.0000 0.0000 0.0000
Bi -2.8346 -3.1848 6.1223
CELL_PARAMETERS angstrom
-3.5490 0.9205 4.8094
-2.7772 -5.2704 -1.0406
1.0429 -5.1152 5.5509
! - Uncorrected formation energy: -0.14 eV per atom
! - Space group: I-42d, No. 122
! - Calculated density: 5.485 g/cm3

---

Entry 2:
! Ag6BiS4 GGA-PBE relaxed; values from VASP
&SYSTEM
  ibrav = 0, nat = 11, ntyp = 3
/
ATOMIC_SPECIES
S 32.06 S.upf
Ag 107.87 Ag.upf
Bi 208.98 Bi.upf
ATOMIC_POSITIONS angstrom
S 3.0904 1.1310 5.5410
S -0.2907 2.7696 3.2872
S 4.0269 0.8562 1.2697
S 0.5639 -1.2578 2.3996
Ag 2.0226 -2.8739 0.6284
Ag -0.7703 -3.3776 1.5547
Ag 1.8458 0.7482 3.2406
Ag -2.2221 -0.9928 2.6119
Ag 1.9520 3.5984 4.4143
Ag 4.3629 2.5300 3.2878
Bi 0.0000 0.0000 0.0000
CELL_PARAMETERS angstrom
-2.7295 -6.3220 0.1545
6.7747 0.5741 1.1022
-1.7148 4.3364 5.0692
! - Uncorrected formation energy: 0.04 eV per atom
! - Space group: I-42m, No. 121
! - Calculated density: 6.844 g/cm3

---

Entry 3:
! AgBiS2 GGA-PBE relaxed; values from VASP
&SYSTEM
  ibrav = 0, nat = 12, ntyp = 3
/
ATOMIC_SPECIES
S 32.06 S.upf
Ag 107.87 Ag.upf
Bi 208.98 Bi.upf
ATOMIC_POSITIONS angstrom
S 0.0000 2.4382 7.5656
S 0.0000 0.0000 14.1285
S 2.1115 1.2191 11.3402
S 0.0000 2.4382 17.3581
S 0.0000 0.0000 4.7772
S 2.1115 1.2191 1.5476
Ag 0.0000 0.0000 9.4529
Ag 0.0000 2.4382 11.1012
Ag 2.1115 1.2191 7.8046
Bi 0.0000 0.0000 0.0000
Bi 0.0000 2.4382 3.5450
Bi 2.1115 1.2191 15.3608
CELL_PARAMETERS angstrom
4.2231 0.0000 0.0000
-2.1115 3.6573 0.0000
0.0000 0.0000 18.9058
! - Uncorrected formation energy: -0.10 eV per atom
! - Space group: P-3m1, No. 164
! - Calculated density: 6.500 g/cm3

---

Entry 4:
! Ag2BiSbS4 GGA-PBE relaxed; values from VASP
&SYSTEM
  ibrav = 0, nat = 16, ntyp = 4
/
ATOMIC_SPECIES
S 32.06 S.upf
Ag 107.87 Ag.upf
Bi 208.98 Bi.upf
Sb 121.76 Sb.upf
ATOMIC_POSITIONS angstrom
S 0.0337 -0.0113 2.7942
S 3.9406 -0.0103 2.7496
S 3.9393 3.9871 2.7689
S 1.9762 -2.0135 5.5834
S 1.9978 1.9542 -0.0127
S 0.0324 3.9861 2.8135
S 1.9968 5.9893 -0.0204
S 1.9752 2.0216 5.5758
Ag 0.0034 0.0034 5.6154
Ag 1.9879 -1.9830 2.8077
Ag 3.9710 0.0014 -0.0261
Ag 5.9589 -1.9816 2.7815
Bi 5.9575 1.9893 2.7554
Bi -0.0014 3.9710 -0.0262
Sb 1.9865 1.9879 2.7815
Sb -3.9690 3.9730 5.6154
CELL_PARAMETERS angstrom
7.9420 0.0028 -0.0523
-0.0028 7.9420 -0.0523
-3.9662 -3.9690 5.6677
! - Uncorrected formation energy: -0.18 eV per atom
! - Space group: Imma, No. 74
! - Calculated density: 6.327 g/cm3

---

Entry 5:
! ScAgBi2S5 GGA-PBE relaxed; values from VASP
&SYSTEM
  ibrav = 0, nat = 18, ntyp = 4
/
ATOMIC_SPECIES
S 32.06 S.upf
Bi 208.98 Bi.upf
Sc 44.96 Sc.upf
Ag 107.87 Ag.upf
ATOMIC_POSITIONS angstrom
S 1.9527 7.0148 7.8210
S 0.0000 6.2076 0.4192
S 1.9527 0.1894 3.9585
S 0.0000 1.1255 0.9571
S 1.9527 3.8494 2.2013
S 0.0000 4.4581 5.4937
S 1.9527 3.6822 12.3577
S 1.9527 1.9327 7.2831
S 0.0000 7.9510 10.8225
S 0.0000 4.2909 9.0653
Bi 0.0000 1.4642 9.0266
Bi 1.9527 5.9913 10.3731
Bi 0.0000 2.1491 3.5091
Bi 1.9527 6.6761 2.1627
Sc 0.0000 3.6210 0.2422
Sc 1.9527 4.5193 7.1062
Ag 0.0000 7.0002 6.0955
Ag 1.9527 1.1401 12.9595
CELL_PARAMETERS angstrom
3.9054 0.0000 0.0000
-1.9527 8.1403 0.0000
0.0000 0.0000 13.7279
! - Uncorrected formation energy: -0.68 eV per atom
! - Space group: Cmc2_1, No. 36
! - Calculated density: 5.564 g/cm3

---

Entry 6:
! ScAg2BiS4 GGA-PBE relaxed; values from VASP
&SYSTEM
  ibrav = 0, nat = 8, ntyp = 4
/
ATOMIC_SPECIES
S 32.06 S.upf
Bi 208.98 Bi.upf
Ag 107.87 Ag.upf
Sc 44.96 Sc.upf
ATOMIC_POSITIONS angstrom
S 3.9072 2.4379 1.7699
S 1.9536 5.6366 1.6855
S 1.9536 3.6656 4.7158
S 0.0001 6.8643 4.6314
Bi 1.9536 5.9106 6.4019
Ag 0.0000 2.5190 6.4024
Ag 1.9536 1.2595 3.2012
Sc 0.0000 4.6511 3.2007
CELL_PARAMETERS angstrom
3.9072 0.0000 0.0000
0.0000 6.7833 -0.0010
0.0000 2.5189 6.4024
! - Uncorrected formation energy: -0.68 eV per atom
! - Space group: P2/m, No. 10
! - Calculated density: 5.851 g/cm3

---

Entry 7:
! Ag2Bi2SeS3 GGA-PBE relaxed; values from VASP
&SYSTEM
  ibrav = 0, nat = 8, ntyp = 4
/
ATOMIC_SPECIES
Bi 208.98 Bi.upf
S 32.06 S.upf
Se 78.96 Se.upf
Ag 107.87 Ag.upf
ATOMIC_POSITIONS angstrom
Bi -0.3956 -2.5746 -5.4593
Bi -3.0404 -0.9507 -2.6826
S -2.8448 0.3222 0.0166
S -0.5734 -3.7316 -7.9126
S -3.2189 -2.1119 -5.1449
Se -0.1919 -1.2490 -2.6484
Ag -0.4940 -3.9187 -1.7952
Ag -0.0068 -0.0444 -0.0942
CELL_PARAMETERS angstrom
-2.9581 0.2895 -6.5672
2.1736 -5.3948 -4.2584
-2.7272 0.3839 6.6616
! - Uncorrected formation energy: -0.20 eV per atom
! - Space group: Imm2, No. 44
! - Calculated density: 7.003 g/cm3

---

Entry 8:
! AgBiSeS GGA-PBE relaxed; values from VASP
&SYSTEM
  ibrav = 0, nat = 4, ntyp = 4
/
ATOMIC_SPECIES
Bi 208.98 Bi.upf
S 32.06 S.upf
Se 78.96 Se.upf
Ag 107.87 Ag.upf
ATOMIC_POSITIONS angstrom
Bi -1.1646 0.5911 3.8624
S -1.7320 1.8794 1.3607
Se 0.5675 -1.2883 2.5017
Ag 0.0000 0.0000 0.0000
CELL_PARAMETERS angstrom
-1.6618 -3.0515 2.0994
2.7967 0.4748 2.9040
-3.4641 3.7588 2.7215
! - Uncorrected formation energy: -0.16 eV per atom
! - Space group: P4/mmm, No. 123
! - Calculated density: 7.445 g/cm3